Entry from Alexandria via LeMat-Bulk: a geometry-optimized PbC2Se structure (PBEsol).

a b c (Å): 6.1274 6.1274 6.1274
angles (deg): 90.00 90.00 90.00
With the nearest neighbours (Å) after each atom.
Space group Fm-3m (No. 225)
Inequivalent atoms, fractional coordinates:
Pb  0.0000  0.0000  0.0000 (multiplicity 4)  8 C 2.65
C  0.2500  0.2500  0.2500 (multiplicity 8)  4 Se 2.65, 4 Pb 2.65
Se  0.0000  0.0000  0.5000 (multiplicity 4)  8 C 2.65

Summary:
* ρ: 9.0 Mg/m³
* E: -0.3199 Ry per atom
* uncorrected formation energy: 2.43 eV/atom
* DOS(E_F): 9.3 states/eV per cell
* total magnetic moment: 0.00 μB per formula unit

Entry from Alexandria via LeMat-Bulk: a geometry-optimized SnPb3C structure (PBEsol).

a b c (Å): 5.7462 5.7462 5.7462
angles (deg): 90.00 90.00 90.00
With the nearest neighbours (Å) after each atom.
Space group Pm-3m (No. 221)
Inequivalent atoms, fractional coordinates:
Sn  0.0000  0.0000  0.0000 (multiplicity 1)  6 Pb 2.87
Pb  0.0000  0.0000  0.5000 (multiplicity 3)  2 Sn 2.87
C  0.5000  0.5000  0.5000 (multiplicity 1)  12 Pb 4.06

Summary:
* ρ: 6.6 Mg/m³
* E: -0.2378 Ry per atom
* ΔE_f: 1944 meV/atom
* DOS(E_F): 1.9 states/eV per cell
* total magnetic moment: 1.58 μB per formula unit

Entry from Alexandria via LeMat-Bulk: a geometry-optimized TlSnPb2C structure (PBEsol).

a b c (Å): 5.9908 5.9908 4.0469
angles (deg): 90.00 90.00 90.00
With the nearest neighbours (Å) after each atom.
Space group P4/mmm (No. 123)
Inequivalent atoms, fractional coordinates:
Tl  0.0000  0.0000  0.0000 (multiplicity 1)  8 Pb 3.61, 2 Tl 4.05
Sn  0.5000  0.5000  0.5000 (multiplicity 1)  2 C 2.02
Pb  0.0000  0.5000  0.5000 (multiplicity 2)  2 Sn 3.00
C  0.5000  0.5000  0.0000 (multiplicity 1)  2 Sn 2.02

Summary:
* ρ: 8.6 Mg/m³
* E: -0.2773 Ry per atom
* ΔE_f: 1134 meV/atom
* DOS(E_F): 2.9 states/eV per cell
* total magnetic moment: 0.00 μB per formula unit

Entry from Alexandria via LeMat-Bulk: a geometry-optimized Ti2PbC structure (PBEsol).

a b c (Å): 3.1895 3.1895 13.8053
angles (deg): 90.00 90.00 120.00
With the nearest neighbours (Å) after each atom.
Space group P6_3/mmc (No. 194)
Inequivalent atoms, fractional coordinates:
Ti  0.3333  0.6667  0.0781 (multiplicity 4)  3 C 2.13
Pb  0.3333  0.6667  0.7500 (multiplicity 2)  6 Ti 3.00, 6 Pb 3.19
C  0.0000  0.0000  0.0000 (multiplicity 2)  6 Ti 2.13

Summary:
* ρ: 8.6 Mg/m³
* E: -0.6040 Ry per atom
* ΔE_f: -646 meV/atom
* DOS(E_F): 3.9 states/eV per cell
* total magnetic moment: 0.00 μB per formula unit